NpIF2 (GGA-PBE, relaxed); raw formation energy = -10.2 eV per formula unit; space-group type = No. 63; N(E_F) = 0.72 states/eV/atom; electronic total energy = -7.111 eV/atom
1.0
4.037 0.000 0.000
-2.019 5.941 0.000
0.000 0.000 7.297
F Np I
4 2 2
Direct
0.306 0.612 0.570
0.694 0.388 0.070
0.694 0.388 0.430
0.306 0.612 0.930
0.230 0.461 0.250
0.770 0.539 0.750
0.950 0.899 0.250
0.050 0.101 0.750



NpIF3 (GGA-PBE, relaxed); raw formation energy = -13.6 eV per formula unit; space-group type = No. 14; N(E_F) = 1.77 states/eV/atom; electronic total energy = -6.748 eV/atom
1.0
5.965 0.000 0.000
0.000 8.163 1.057
0.000 0.280 10.050
F Np I
12 4 4
Direct
0.075 0.039 0.605
0.730 0.243 0.219
0.867 0.692 0.013
0.770 0.743 0.719
0.133 0.308 0.987
0.925 0.961 0.395
0.633 0.192 0.513
0.425 0.539 0.105
0.575 0.461 0.895
0.230 0.257 0.281
0.367 0.808 0.487
0.270 0.757 0.781
0.566 0.725 0.919
0.066 0.775 0.581
0.434 0.275 0.081
0.934 0.225 0.419
0.811 0.594 0.366
0.311 0.906 0.134
0.689 0.094 0.866
0.189 0.406 0.634



NpIO5F (GGA-PBE, relaxed); raw formation energy = -12.3 eV per formula unit; space-group type = No. 15; N(E_F) = 0.36 states/eV/atom; electronic total energy = -6.682 eV/atom
1.0
-3.366 0.330 4.769
1.292 -5.627 0.920
6.819 3.771 2.414
O Np F I
10 2 2 2
Direct
0.835 0.684 0.435
0.832 0.323 0.113
0.168 0.677 0.887
0.323 0.832 0.613
0.039 0.961 0.250
0.961 0.039 0.750
0.165 0.316 0.565
0.677 0.168 0.387
0.316 0.165 0.065
0.684 0.835 0.935
0.000 0.000 0.500
0.000 0.000 0.000
0.634 0.366 0.750
0.366 0.634 0.250
0.613 0.387 0.250
0.387 0.613 0.750



Rb2NpI4F2 (GGA-PBE, relaxed); raw formation energy = -16.5 eV per formula unit; space-group type = No. 12; N(E_F) = 0.78 states/eV/atom; electronic total energy = -4.591 eV/atom
1.0
-3.576 1.683 5.133
1.865 -6.910 3.341
6.618 0.256 4.304
F I Rb Np
2 4 2 1
Direct
0.293 0.113 0.113
0.707 0.887 0.887
0.740 0.371 0.859
0.260 0.141 0.629
0.740 0.859 0.371
0.260 0.629 0.141
0.249 0.649 0.649
0.751 0.351 0.351
0.500 0.000 0.000